# 1
This record from Alexandria via LeMat-Bulk describes crystalline Ce4PdRh3 at its relaxed geometry. The functional is PBE.

a b c (Å): 3.8666 4.1032 11.2595
angles (deg): 90.00 90.00 90.00
Closest atoms and distances in Å follow each position.
Positions (direct):
1 Ce 0.0000 0.0000 0.0000  4 Rh 2.84, 1 Pd 3.17
2 Ce 0.0000 0.5000 0.2682  5 Rh 2.86-2.94
3 Ce 0.5000 0.0000 0.4895  5 Rh 2.86-2.95
4 Ce 0.5000 0.5000 0.7717  4 Pd 2.88, 1 Rh 2.93
5 Pd 0.0000 0.0000 0.7186  7 Ce 2.88-3.22, 2 Rh 2.95
6 Rh 0.0000 0.5000 0.5298  5 Ce 2.86-2.94, 2 Pd 2.95
7 Rh 0.5000 0.0000 0.2274  5 Ce 2.86-2.95, 2 Rh 3.01
8 Rh 0.5000 0.5000 0.0317  5 Ce 2.84-2.93, 2 Rh 3.01

Properties
N(E_F), states/eV per atom: 1.9906
ΔH_f (0 K), eV per atom: -0.743

***

# 2
This record from Alexandria via LeMat-Bulk describes crystalline Ca2Pr4Co at its relaxed geometry. The functional is PBE.

a b c (Å): 5.4195 5.4195 18.2146
angles (deg): 90.00 90.00 90.00
Closest atoms and distances in Å follow each position.
Positions (direct):
1 Ca 0.0000 0.0000 0.1510  9 Pr 3.61-3.86
2 Ca 0.0000 0.0000 0.8490  9 Pr 3.61-3.86
3 Ca 0.5000 0.5000 0.3490  9 Pr 3.61-3.86
4 Ca 0.5000 0.5000 0.6510  9 Pr 3.61-3.86
5 Pr 0.0000 0.0000 0.3492  1 Co 2.75
6 Pr 0.0000 0.0000 0.6508  1 Co 2.75
7 Pr 0.0000 0.5000 0.0000  2 Co 2.71
8 Pr 0.0000 0.5000 0.5000  2 Co 2.71
9 Pr 0.5000 0.0000 0.0000  2 Co 2.71
10 Pr 0.5000 0.0000 0.5000  2 Co 2.71
11 Pr 0.5000 0.5000 0.1508  1 Co 2.75
12 Pr 0.5000 0.5000 0.8492  1 Co 2.75
13 Co 0.0000 0.0000 0.5000  6 Pr 2.71-2.75
14 Co 0.5000 0.5000 0.0000  6 Pr 2.71-2.75

Properties
N(E_F), states/eV per atom: 1.2769
ΔH_f (0 K), eV per atom: 0.188

***

# 3
This record from Alexandria via LeMat-Bulk describes crystalline NaLiI2 at its relaxed geometry. The functional is PBE.

a b c (Å): 6.9186 6.9186 13.0290
angles (deg): 90.00 90.00 90.00
Closest atoms and distances in Å follow each position.
Positions (direct):
1 Na 0.0000 0.0000 0.0000  4 I 3.10
2 Na 0.0000 0.5000 0.2500  4 I 3.10
3 Na 0.5000 0.0000 0.7500  4 I 3.10
4 Na 0.5000 0.5000 0.5000  4 I 3.10
5 Li 0.0000 0.0000 0.5000  4 I 2.80
6 Li 0.0000 0.5000 0.7500  4 I 2.80
7 Li 0.5000 0.0000 0.2500  4 I 2.80
8 Li 0.5000 0.5000 0.0000  4 I 2.80
9 I 0.2132 0.2500 0.6250  2 Li 2.80, 2 Na 3.10
10 I 0.2500 0.7132 0.8750  2 Li 2.80, 2 Na 3.10
11 I 0.2500 0.7868 0.3750  2 Li 2.80, 2 Na 3.10
12 I 0.2868 0.2500 0.1250  2 Li 2.80, 2 Na 3.10
13 I 0.7132 0.7500 0.1250  2 Li 2.80, 2 Na 3.10
14 I 0.7500 0.2132 0.3750  2 Li 2.80, 2 Na 3.10
15 I 0.7500 0.2868 0.8750  2 Li 2.80, 2 Na 3.10
16 I 0.7868 0.7500 0.6250  2 Li 2.80, 2 Na 3.10

Properties
N(E_F), states/eV per atom: 0.0000
E above lowest polymorph, meV/atom: 0
ΔE_f (raw), eV per atom: -1.2114